Entry 1:
This record from the Alexandria database describes crystalline CaBe2Pt at its relaxed geometry. The functional is PBE.

The value obtained for the energy relative to the lowest polymorph listed for this composition is 486.6 meV/atom. As for the crystal system: orthorhombic. Its volume is 141.2 Å³ per cell. As for the total energy: -3.96 eV per atom. The value obtained for the formation energy is -0.08 eV/atom.

The space group is Imm2 (No. 44) and the conventional cell measures 3.932, 5.267 and 6.816 Å, with angles of 90.00, 90.00 and 90.00 degrees. The inequivalent atoms are Ca at (0.000, 0.000, 0.000), Be at (0.000, 0.000, 0.496), Be at (0.000, 0.500, 0.831) and Pt at (0.000, 0.500, 0.157).

=====

Entry 2:
This record from the Alexandria database describes crystalline Ca3Be4Pt4 at its relaxed geometry. The functional is PBE.

As for the crystal system: cubic. Its volume is 383.3 Å³ per cell. As for the total energy: -4.77 eV per atom. The value obtained for the formation energy is -0.67 eV/atom.

The space group is I-43m (No. 217) and the conventional cell measures 7.264, 7.264 and 7.264 Å, with angles of 90.00, 90.00 and 90.00 degrees. The inequivalent atoms are Ca at (0.000, 0.000, 0.500), Be at (0.176, 0.176, 0.176) and Pt at (0.148, 0.148, 0.852).

=====

Entry 3:
This record from the Alexandria database describes crystalline CaBe2Pt at its relaxed geometry. The functional is PBE.

The value obtained for the energy relative to the lowest polymorph listed for this composition is 789.7 meV/atom. As for the crystal system: monoclinic. Its volume is 118.0 Å³ per cell. As for the total energy: -3.65 eV per atom. The value obtained for the formation energy is 0.22 eV/atom.

The space group is C2/m (No. 12) and the conventional cell measures 5.551, 7.285 and 2.920 Å, with angles of 90.00, 92.08 and 90.00 degrees. The inequivalent atoms are Ca at (0.000, 0.000, 0.000), Be at (0.250, 0.250, 0.500) and Pt at (0.000, 0.500, 0.000).

=====

Entry 4:
This record from the Alexandria database describes crystalline CaBePt3 at its relaxed geometry. The functional is PBE.

The value obtained for the energy relative to the lowest polymorph listed for this composition is 462.8 meV/atom. As for the crystal system: tetragonal. Its volume is 101.2 Å³ per cell. As for the total energy: -5.05 eV per atom. The value obtained for the formation energy is -0.28 eV/atom.

The space group is P4mm (No. 99) and the conventional cell measures 3.778, 3.778 and 7.089 Å, with angles of 90.00, 90.00 and 90.00 degrees. The inequivalent atoms are Ca at (0.000, 0.000, 0.000), Be at (0.500, 0.500, 0.532), Pt at (0.000, 0.000, 0.613) and Pt at (0.000, 0.500, 0.321).

=====

Entry 5:
This record from the Alexandria database describes crystalline CaBe2Pt at its relaxed geometry. The functional is PBE.

The value obtained for the energy relative to the lowest polymorph listed for this composition is 396.1 meV/atom. As for the crystal system: tetragonal. Its volume is 62.7 Å³ per cell. As for the total energy: -4.05 eV per atom. The value obtained for the formation energy is -0.17 eV/atom.

The space group is P4mm (No. 99) and the conventional cell measures 3.093, 3.093 and 6.549 Å, with angles of 90.00, 90.00 and 90.00 degrees. The inequivalent atoms are Ca at (0.000, 0.000, 0.000), Be at (0.000, 0.000, 0.488), Be at (0.500, 0.500, 0.673) and Pt at (0.500, 0.500, 0.330).

=====

Entry 6:
This record from the Alexandria database describes crystalline CaBe3Pt2 at its relaxed geometry. The functional is PBE.

As for the crystal system: hexagonal. Its volume is 87.0 Å³ per cell. As for the total energy: -4.82 eV per atom. The value obtained for the formation energy is -0.61 eV/atom.

The space group is P6/mmm (No. 191) and the conventional cell measures 5.2391, 5.2391 and 3.6598 Å, with angles of 90.00, 90.00 and 120.00 degrees. The inequivalent atoms are Ca at (0.0000, 0.0000, 0.0000), Be at (0.0000, 0.5000, 0.5000) and Pt at (0.3333, 0.6667, 0.0000).

=====

Entry 7:
This record from the Alexandria database describes crystalline CaBePt3 at its relaxed geometry. The functional is PBE.

The value obtained for the energy relative to the lowest polymorph listed for this composition is 32.4 meV/atom. As for the crystal system: triclinic. Its volume is 171.8 Å³ per cell. As for the total energy: -5.48 eV per atom. The value obtained for the formation energy is -0.71 eV/atom.

The space group is P-1 (No. 2) and the conventional cell measures 5.504, 5.751 and 6.375 Å, with angles of 70.35, 66.04 and 89.34 degrees. The inequivalent atoms are Ca at (0.059, 0.155, 0.173), Be at (0.476, 0.658, 0.707), Pt at (0.202, 0.454, 0.599), Pt at (0.318, 0.661, 0.099) and Pt at (0.486, 0.927, 0.318).

=====

Entry 8:
This record from the Alexandria database describes crystalline CaScBePt2 at its relaxed geometry. The functional is PBE.

As for the crystal system: tetragonal. Its volume is 193.4 Å³ per cell. As for the total energy: -5.64 eV per atom. The value obtained for the formation energy is -0.81 eV/atom.

The space group is I-4m2 (No. 119) and the conventional cell measures 4.036, 4.036 and 11.869 Å, with angles of 90.00, 90.00 and 90.00 degrees. The inequivalent atoms are Ca at (0.000, 0.000, 0.000), Sc at (0.000, 0.500, 0.750), Be at (0.000, 0.500, 0.250) and Pt at (0.000, 0.000, 0.386).